Entry 1:
# Co2NiSb

A relaxed Co2NiSb crystal (PBE, Alexandria).

Computed properties:
E   -23.014 eV for the cell shown
Formation energy without anion corrections   0.275 eV/atom
Fermi-level density of states   4.04 states/eV/f.u.
M_tot   2.86 μB/f.u.

Lattice parameters (Å, degrees): 2.9407 4.3039 4.3999 90.00 93.41 90.00
Closest atoms and distances in Å follow each position.
Sites, in units of the cell vectors:
Co1 0.2322 0.0000 0.2231  2 Co 2.32-2.59, 2 Ni 2.51, 2 Sb 2.58
Co2 0.7678 0.0000 0.7769  2 Co 2.32-2.59, 2 Ni 2.51, 2 Sb 2.58
Ni1 0.5000 0.5000 0.0000  4 Co 2.51, 4 Sb 2.57-2.72
Sb1 0.0000 0.5000 0.5000  4 Ni 2.57-2.72, 4 Co 2.58

***

Entry 2:
# CdHg2Ir

A relaxed CdHg2Ir crystal (PBE, Alexandria).

Computed properties:
E   -8.774 eV for the cell shown
Energy of formation from the pure elements   1.61 eV/f.u.
Energy above the most stable polymorph in this dataset   201 meV/atom
Fermi-level density of states   2.56 states/eV/f.u.
M_tot   0.00 μB/f.u.

Lattice parameters (Å, degrees): 3.0500 3.0500 10.0632 90.00 90.00 121.21
Closest atoms and distances in Å follow each position.
Sites, in units of the cell vectors:
Cd1 0.0000 0.0000 0.0000  6 Cd 2.99-3.05, 4 Hg 3.07
Hg1 0.5000 0.5000 0.2658  2 Ir 2.79, 6 Hg 2.99-3.05, 2 Cd 3.07
Hg2 0.5000 0.5000 0.7342  2 Ir 2.79, 6 Hg 2.99-3.05, 2 Cd 3.07
Ir1 0.0000 0.0000 0.5000  4 Hg 2.79, 6 Ir 2.99-3.05

***

Entry 3:
# Er2MgZn2

A relaxed Er2MgZn2 crystal (PBE, Alexandria).

Computed properties:
E   -14.580 eV for the cell shown
Energy of formation from the pure elements   -1.31 eV/f.u.
Fermi-level density of states   5.24 states/eV/f.u.
M_tot   0.00 μB/f.u.

Lattice parameters (Å, degrees): 7.4701 7.4701 3.5778 90.00 90.00 145.32
Closest atoms and distances in Å follow each position.
Sites, in units of the cell vectors:
Er1 0.1284 0.8716 0.0000  6 Zn 3.02-3.04
Er2 0.8716 0.1284 0.0000  6 Zn 3.02-3.04
Mg1 0.5000 0.5000 0.5000  2 Zn 2.86
Zn1 0.2994 0.7006 0.5000  2 Zn 2.63, 1 Mg 2.86
Zn2 0.7006 0.2994 0.5000  2 Zn 2.63, 1 Mg 2.86

***

Fermi-level density of states of number 2 (CdHg2Ir)? 2.56 states/eV/f.u.

***

Which of these has the highest E? CdHg2Ir

***

What is the formula in the first record? Co2NiSb

***

What is the formula in the first record? Co2NiSb